No. 1
Cd2NiIr | PBE | relaxed

Cell lengths 5.850, 7.457, 3.003 Å; angles 90.00, 90.00, 90.00 degrees
Space group Cmmm (No. 65)
Inequivalent atoms, fractional coordinates:
Cd  0.250  0.250  0.000
Ni  0.000  0.000  0.500
Ir  0.000  0.500  0.500

***

No. 2
Cd2NiIr | PBE | relaxed

Cell lengths 4.742, 2.973, 4.884 Å; angles 90.00, 108.57, 90.00 degrees
Space group P2/m (No. 10)
Inequivalent atoms, fractional coordinates:
Cd  0.000  0.000  0.000
Cd  0.000  0.500  0.500
Ni  0.500  0.000  0.500
Ir  0.500  0.500  0.000

***

ΔH_f (0 K): 0.184; 0.222 (eV per atom)